(1)
Entry from Alexandria via LeMat-Bulk: HfSi2 after structural relaxation (GGA-PBEsol).

## Properties
- Density of states at the Fermi level: 0.58 states/eV/f.u.
- Energy: -7.9964 eV/atom
- Formation energy (no corrections): -0.664 eV/atom

a = 3.6399 Å, b = 3.6489 Å, c = 7.3965 Å
α = 75.72°, β = 90.00°, γ = 90.00°
With the nearest neighbours (Å) after each atom.
Fractional coordinates of all 6 atoms:
Si  0.2500  0.7498  0.5004  4 Si 2.58, 4 Hf 2.77
Si  0.7500  0.5550  0.8900  2 Si 2.41, 4 Hf 2.67
Si  0.2500  0.4450  0.1100  2 Si 2.41, 4 Hf 2.67
Si  0.7500  0.2502  0.4996  4 Si 2.58, 4 Hf 2.77
Hf  0.2500  0.1047  0.7906  10 Si 2.67-2.93
Hf  0.7500  0.8953  0.2094  10 Si 2.67-2.93

(2)
Entry from Alexandria via LeMat-Bulk: TmMoO4F after structural relaxation (GGA-PBEsol).

## Properties
- Density of states at the Fermi level: 0.00 states/eV/f.u.
- Energy: -8.5443 eV/atom
- Formation energy (no corrections): -2.888 eV/atom

a = 5.1297 Å, b = 6.4801 Å, c = 12.1145 Å
α = 90.00°, β = 90.00°, γ = 112.57°
With the nearest neighbours (Å) after each atom.
Fractional coordinates of all 28 atoms:
Tm  0.3394  0.6996  0.4497  2 F 2.19-2.25, 6 O 2.25-2.34
Tm  0.6606  0.3004  0.5503  2 F 2.19-2.25, 6 O 2.25-2.34
Tm  0.8394  0.1996  0.0503  2 F 2.19-2.25, 6 O 2.25-2.34
Tm  0.1606  0.8004  0.9497  2 F 2.19-2.25, 6 O 2.25-2.34
O  0.5111  0.7049  0.2787  1 Mo 1.74
O  0.8566  0.0968  0.6527  1 Mo 1.73
O  0.1434  0.9032  0.3473  1 Mo 1.73
O  0.9889  0.7951  0.7787  1 Mo 1.74
O  0.4889  0.2951  0.7213  1 Mo 1.74
O  0.3390  0.3394  0.4311  1 Mo 1.81
O  0.7246  0.0357  0.4353  1 Mo 1.81
O  0.3566  0.5968  0.8473  1 Mo 1.73
O  0.2246  0.5357  0.0647  1 Mo 1.81
O  0.8390  0.8394  0.0689  1 Mo 1.81
O  0.6434  0.4032  0.1527  1 Mo 1.73
O  0.2754  0.9643  0.5647  1 Mo 1.81
O  0.6610  0.6606  0.5689  1 Mo 1.81
O  0.1610  0.1606  0.9311  1 Mo 1.81
O  0.0111  0.2049  0.2213  1 Mo 1.74
O  0.7754  0.4643  0.9353  1 Mo 1.81
Mo  0.4502  0.3685  0.8570  4 O 1.73-1.81
Mo  0.0498  0.1315  0.3570  4 O 1.73-1.81
Mo  0.5498  0.6315  0.1430  4 O 1.73-1.81
Mo  0.9502  0.8685  0.6430  4 O 1.73-1.81
F  0.4224  0.9592  0.0989  2 Tm 2.19-2.25
F  0.5776  0.0408  0.9011  2 Tm 2.19-2.25
F  0.0776  0.5408  0.5989  2 Tm 2.19-2.25
F  0.9224  0.4592  0.4011  2 Tm 2.19-2.25

(3)
Entry from Alexandria via LeMat-Bulk: TaTe2SN after structural relaxation (GGA-PBEsol).

## Properties
- Density of states at the Fermi level: 4.28 states/eV/f.u.
- Energy: -5.5643 eV/atom
- Formation energy (no corrections): 0.938 eV/atom

a = 3.2991 Å, b = 5.2865 Å, c = 5.2865 Å
α = 90.00°, β = 90.00°, γ = 90.00°
With the nearest neighbours (Å) after each atom.
Fractional coordinates of all 5 atoms:
Te  0.0000  0.0000  0.5000  2 S 2.64
Te  0.0000  0.5000  0.0000  2 S 2.64
N  0.5000  0.0000  0.0000  2 S 1.65
S  0.0000  0.0000  0.0000  2 N 1.65
Ta  0.5000  0.5000  0.5000  8 Te 3.12, 2 Ta 3.30

(4)
Entry from Alexandria via LeMat-Bulk: TeP3Pd after structural relaxation (GGA-PBEsol).

## Properties
- Density of states at the Fermi level: 5.52 states/eV/f.u.
- Energy: -4.6920 eV/atom
- Formation energy (no corrections): 0.680 eV/atom

a = 4.6372 Å, b = 4.6372 Å, c = 4.6372 Å
α = 90.00°, β = 90.00°, γ = 90.00°
With the nearest neighbours (Å) after each atom.
Fractional coordinates of all 5 atoms:
Pd  0.0000  0.0000  0.0000  6 P 2.32
Te  0.5000  0.5000  0.5000  12 P 3.28
P  0.0000  0.0000  0.5000  2 Pd 2.32
P  0.0000  0.5000  0.0000  2 Pd 2.32
P  0.5000  0.0000  0.0000  2 Pd 2.32

(5)
Entry from Alexandria via LeMat-Bulk: Ni2SbAs after structural relaxation (GGA-PBEsol).

## Properties
- Density of states at the Fermi level: 2.32 states/eV/f.u.
- Energy: -5.4767 eV/atom
- Formation energy (no corrections): 0.018 eV/atom

a = 3.0718 Å, b = 3.0718 Å, c = 6.3445 Å
α = 90.00°, β = 90.00°, γ = 90.00°
With the nearest neighbours (Å) after each atom.
Fractional coordinates of all 4 atoms:
As  0.5000  0.5000  0.5000  8 Ni 2.53
Ni  0.0000  0.0000  0.7047  4 As 2.53, 1 Ni 2.60
Ni  0.0000  0.0000  0.2953  4 As 2.53, 1 Ni 2.60
Sb  0.5000  0.5000  0.0000  8 Ni 2.87, 4 Sb 3.07, 2 As 3.17

(6)
Entry from Alexandria via LeMat-Bulk: K4Sb2O3 after structural relaxation (GGA-PBEsol).

## Properties
- Energy: -4.4562 eV/atom
- Formation energy (no corrections): -1.190 eV/atom

a = 6.2508 Å, b = 6.2508 Å, c = 14.3117 Å
α = 90.00°, β = 90.00°, γ = 120.00°
With the nearest neighbours (Å) after each atom.
Fractional coordinates of all 18 atoms:
Sb  0.3333  0.6667  0.3619  1 Sb 2.73
Sb  0.6667  0.3333  0.6714  3 O 1.91
Sb  0.6667  0.3333  0.8619  1 Sb 2.73
Sb  0.3333  0.6667  0.1714  3 O 1.91
K  0.0000  0.0000  0.7334  3 O 2.61
K  0.0000  0.0000  0.9956  3 O 2.51
K  0.3333  0.6667  0.9457  3 O 2.89, 1 Sb 3.23
K  0.3333  0.6667  0.6057  6 O 3.13, 1 Sb 3.49
K  0.0000  0.0000  0.2334  3 O 2.61
K  0.6667  0.3333  0.4457  3 O 2.89, 1 Sb 3.23
K  0.6667  0.3333  0.1057  6 O 3.13, 1 Sb 3.49
K  0.0000  0.0000  0.4956  3 O 2.51
O  0.6467  0.8234  0.1093  1 Sb 1.91
O  0.1766  0.8234  0.1093  1 Sb 1.91
O  0.1766  0.3533  0.1093  1 Sb 1.91
O  0.8234  0.1766  0.6093  1 Sb 1.91
O  0.3533  0.1766  0.6093  1 Sb 1.91
O  0.8234  0.6467  0.6093  1 Sb 1.91

(7)
Entry from Alexandria via LeMat-Bulk: CoNiRh2 after structural relaxation (GGA-PBEsol).

## Properties
- Density of states at the Fermi level: 6.30 states/eV/f.u.
- Energy above the most stable polymorph in this dataset: 0.04 eV per formula unit
- Energy: -7.4722 eV/atom

a = 2.6149 Å, b = 2.6149 Å, c = 7.0492 Å
α = 90.00°, β = 90.00°, γ = 90.00°
With the nearest neighbours (Å) after each atom.
Fractional coordinates of all 4 atoms:
Co  0.0000  0.0000  0.5118  4 Ni 2.43, 4 Rh 2.56, 4 Co 2.61
Ni  0.5000  0.5000  0.7360  4 Co 2.43, 4 Rh 2.58, 4 Ni 2.61
Rh  0.5000  0.5000  0.2611  4 Co 2.56, 8 Rh 2.61-2.65
Rh  0.0000  0.0000  0.9912  4 Ni 2.58, 8 Rh 2.61-2.65

(8)
Entry from Alexandria via LeMat-Bulk: MgO after structural relaxation (GGA-PBEsol).

## Properties
- Density of states at the Fermi level: 0.00 states/eV/f.u.
- Energy: -6.1236 eV/atom
- Formation energy (no corrections): -2.640 eV/atom

a = 4.1752 Å, b = 6.1396 Å, c = 8.1214 Å
α = 112.21°, β = 104.90°, γ = 90.00°
With the nearest neighbours (Å) after each atom.
Fractional coordinates of all 16 atoms:
Mg  0.4293  0.5955  0.8587  5 O 2.01-2.09
Mg  0.1899  0.3542  0.3797  5 O 2.00-2.09
Mg  0.8101  0.6458  0.6203  5 O 2.00-2.09
Mg  0.0707  0.7368  0.1413  5 O 2.01-2.09
Mg  0.3101  0.9745  0.6203  5 O 2.00-2.09
Mg  0.9293  0.2632  0.8587  5 O 2.01-2.09
Mg  0.5707  0.4045  0.1413  5 O 2.01-2.09
Mg  0.6899  0.0255  0.3797  5 O 2.00-2.09
O  0.9294  0.5998  0.8587  5 Mg 2.00-2.09
O  0.8099  0.9745  0.6198  5 Mg 2.01-2.09
O  0.3099  0.6452  0.6198  5 Mg 2.01-2.09
O  0.0706  0.4002  0.1413  5 Mg 2.00-2.09
O  0.6901  0.3548  0.3802  5 Mg 2.01-2.09
O  0.1901  0.0255  0.3802  5 Mg 2.01-2.09
O  0.5706  0.7411  0.1413  5 Mg 2.00-2.09
O  0.4294  0.2589  0.8587  5 Mg 2.00-2.09

(9)
Entry from Alexandria via LeMat-Bulk: Eu2ZnHg after structural relaxation (GGA-PBEsol).

## Properties
- Density of states at the Fermi level: 13.26 states/eV/f.u.
- Energy: -6.2519 eV/atom

a = 5.2794 Å, b = 5.2794 Å, c = 5.2794 Å
α = 60.00°, β = 60.00°, γ = 60.00°
With the nearest neighbours (Å) after each atom.
Fractional coordinates of all 4 atoms:
Eu  0.2500  0.2500  0.2500  4 Hg 3.23, 4 Zn 3.23
Eu  0.7500  0.7500  0.7500  4 Hg 3.23, 4 Zn 3.23
Hg  0.5000  0.5000  0.5000  8 Eu 3.23
Zn  0.0000  0.0000  0.0000  8 Eu 3.23

(10)
Entry from Alexandria via LeMat-Bulk: FeCo after structural relaxation (GGA-PBEsol).

## Properties
- Density of states at the Fermi level: 1.77 states/eV/f.u.
- Energy: -8.3123 eV/atom

a = 3.9299 Å, b = 3.9299 Å, c = 6.2738 Å
α = 108.25°, β = 108.25°, γ = 90.00°
With the nearest neighbours (Å) after each atom.
Fractional coordinates of all 8 atoms:
Co  0.5000  0.0000  0.0000  4 Fe 2.40, 4 Co 2.43
Co  0.3726  0.3726  0.7452  4 Fe 2.40, 4 Co 2.43
Co  0.0000  0.5000  0.0000  4 Fe 2.40, 4 Co 2.43
Co  0.6274  0.6274  0.2548  4 Fe 2.40, 4 Co 2.43
Fe  0.1231  0.1231  0.2462  4 Co 2.40, 4 Fe 2.43
Fe  0.2500  0.7500  0.5000  4 Co 2.40, 4 Fe 2.43
Fe  0.8769  0.8769  0.7538  4 Co 2.40, 4 Fe 2.43
Fe  0.7500  0.2500  0.5000  4 Co 2.40, 4 Fe 2.43

(11)
Entry from Alexandria via LeMat-Bulk: AgAu2Cl after structural relaxation (GGA-PBEsol).

## Properties
- Density of states at the Fermi level: 2.25 states/eV/f.u.
- Energy above the most stable polymorph in this dataset: 0.83 eV per formula unit
- Energy: -3.0315 eV/atom
- Formation energy (no corrections): 0.260 eV/atom

a = 2.8508 Å, b = 5.2976 Å, c = 5.2976 Å
α = 117.90°, β = 90.00°, γ = 90.00°
With the nearest neighbours (Å) after each atom.
Fractional coordinates of all 4 atoms:
Cl  0.5000  0.0000  0.0000  2 Ag 2.73, 2 Cl 2.85, 8 Au 3.01
Ag  0.5000  0.5000  0.5000  2 Cl 2.73, 2 Ag 2.85, 8 Au 3.01
Au  0.0000  0.0000  0.5000  4 Au 2.73-2.85, 4 Cl 3.01, 4 Ag 3.01
Au  0.0000  0.5000  0.0000  4 Au 2.73-2.85, 4 Ag 3.01, 4 Cl 3.01

(12)
Entry from Alexandria via LeMat-Bulk: NbAlI2O after structural relaxation (GGA-PBEsol).

## Properties
- Density of states at the Fermi level: 1.99 states/eV/f.u.
- Energy: -5.0633 eV/atom
- Formation energy (no corrections): -0.324 eV/atom

a = 3.4363 Å, b = 5.5667 Å, c = 5.5667 Å
α = 90.00°, β = 90.00°, γ = 90.00°
With the nearest neighbours (Å) after each atom.
Fractional coordinates of all 5 atoms:
Nb  0.5000  0.5000  0.5000  8 I 3.27, 2 Nb 3.44
I  0.0000  0.0000  0.5000  2 Al 2.78
I  0.0000  0.5000  0.0000  2 Al 2.78
O  0.5000  0.0000  0.0000  2 Al 1.72
Al  0.0000  0.0000  0.0000  2 O 1.72